# PBE+U Li7Mn2Co3O12, relaxed
data_Li7Mn2Co3O12
_cell_length_a 5.092
_cell_length_b 5.783
_cell_length_c 7.762
_cell_angle_alpha 79.69
_cell_angle_beta 78.45
_cell_angle_gamma 73.76
_symmetry_space_group_name_H-M 'P 1'
_symmetry_Int_Tables_number 1
_symmetry_space_group_name_Hall 'P 1'
loop_
_atom_site_label
_atom_site_fract_x
_atom_site_fract_y
_atom_site_fract_z
Co1 0.002 0.334 0.664
Co2 0.007 0.668 0.345
Co3 0.997 0.165 0.352
O1 0.770 0.641 0.581
O2 0.214 0.490 0.765
O3 0.244 0.830 0.404
O4 0.771 0.825 0.929
O5 0.213 0.178 0.081
O6 0.765 0.326 0.933
O7 0.789 0.504 0.237
O8 0.777 0.997 0.238
O9 0.774 0.174 0.573
O10 0.212 0.020 0.764
O11 0.224 0.680 0.067
O12 0.252 0.333 0.412
Li1 0.495 0.676 0.819
Li2 0.999 0.830 0.667
Li3 0.497 0.168 0.826
Li4 0.496 0.994 0.499
Li5 0.496 0.502 0.501
Li6 0.508 0.832 0.171
Li7 0.507 0.328 0.177
Mn1 0.997 0.504 0.997
Mn2 0.995 0.002 0.998
# Energy: -5.868 eV/atom
# E above lowest polymorph: 29 meV/atom
# Symmetry: P1